{"formula": "CaHgW", "functional": "GGA-PBEsol", "state": "optimized geometry", "cell": [[2.888, 0.000, 0.000], [0.000, 4.959, 0.000], [0.000, -2.479, 4.294]], "species": ["Ca", "W", "Hg"], "fractional_positions": [[0.000, 0.000, 0.000], [0.500, 0.667, 0.333], [0.500, 0.333, 0.667]], "energy_ev_per_atom": -4.760, "e_form_ev_per_atom": 0.74, "polymorph_energy_mev_per_atom": 0}